No. 1
Sr2CrRh, optimized geometry, DFT PBE; energy of formation = 333.1 meV/atom; energy above the lowest structure with this stoichiometry = 211 meV per atom
1.0
3.691 0.000 0.000
0.000 3.691 0.000
0.000 0.000 8.134
Sr Cr Rh
2 1 1
Cartesian
0.000 0.000 1.770 Sr
0.000 0.000 6.364 Sr
1.846 1.846 4.067 Cr
1.846 1.846 0.000 Rh

No. 2
Mn5Tc3, optimized geometry, DFT PBE; energy of formation = 303.5 meV/atom; energy above the lowest structure with this stoichiometry = 224 meV per atom
1.0
7.213 0.000 0.000
-3.607 6.247 0.000
0.000 0.000 4.802
Mn Tc
10 6
Cartesian
-0.791 1.371 1.200 Mn
-2.815 4.876 3.601 Mn
1.583 0.000 1.200 Mn
0.791 1.371 3.601 Mn
0.000 4.165 0.000 Mn
0.000 4.165 2.401 Mn
3.607 2.082 0.000 Mn
3.607 2.082 2.401 Mn
5.631 0.000 3.601 Mn
2.815 4.876 1.200 Mn
-1.479 2.562 3.601 Tc
-2.127 3.684 1.200 Tc
2.959 0.000 3.601 Tc
1.479 2.562 1.200 Tc
4.254 0.000 1.200 Tc
2.127 3.684 3.601 Tc

No. 3
HoH3Ru, optimized geometry, DFT PBE; DFT total energy = -5.226 eV per atom
1.0
3.636 0.000 0.000
0.000 3.636 0.000
0.000 0.000 3.636
Ho H Ru
1 3 1
Cartesian
0.000 0.000 0.000 Ho
0.000 1.818 1.818 H
1.818 0.000 1.818 H
1.818 1.818 0.000 H
1.818 1.818 1.818 Ru

No. 4
TiTl3Cl, optimized geometry, DFT PBE; energy above the lowest structure with this stoichiometry = 436 meV per atom; formation energy (no corrections) = 0.64 eV/atom
1.0
5.608 0.000 0.000
0.000 5.608 0.000
0.000 0.000 5.608
Ti Tl Cl
1 3 1
Cartesian
0.000 0.000 0.000 Ti
0.000 2.804 2.804 Tl
2.804 0.000 2.804 Tl
2.804 2.804 0.000 Tl
2.804 2.804 2.804 Cl

No. 5
Al2CdAg3, optimized geometry, DFT PBE; energy of formation = 129.9 meV/atom
1.0
5.003 -4.836 0.000
5.003 4.836 0.000
0.000 0.000 5.331
Al Cd Ag
4 2 6
Cartesian
1.424 0.000 0.000 Al
1.424 0.000 2.665 Al
8.581 0.000 0.000 Al
8.581 0.000 2.665 Al
5.003 2.050 3.998 Cd
5.003 -2.050 1.333 Cd
5.003 3.035 1.333 Ag
3.598 0.626 1.333 Ag
3.598 -0.626 3.998 Ag
6.407 0.626 1.333 Ag
6.407 -0.626 3.998 Ag
5.003 -3.035 3.998 Ag

No. 6
NpH8Rh4Pb, optimized geometry, DFT PBE; DFT total energy = -5.192 eV per atom
1.0
2.825 1.631 5.186
-2.825 1.631 5.186
0.000 -3.262 5.186
Np H Rh Pb
1 8 4 1
Cartesian
0.000 0.000 0.000 Np
0.000 0.000 3.140 H
-1.309 -0.756 8.691 H
0.000 -1.691 7.070 H
-1.465 0.846 7.070 H
1.309 -0.756 8.691 H
0.000 1.512 8.691 H
0.000 0.000 11.739 H
1.465 0.846 7.070 H
-1.370 -0.791 12.920 Rh
0.000 0.000 9.891 Rh
1.370 -0.791 12.920 Rh
0.000 1.581 12.920 Rh
0.000 0.000 5.307 Pb

No. 7
BaReMo2, optimized geometry, DFT PBE; energy of formation = 746.4 meV/atom; energy above the lowest structure with this stoichiometry = 0 meV per atom
1.0
3.173 0.000 0.000
0.000 3.636 0.000
0.000 0.000 7.959
Ba Re Mo
1 1 2
Cartesian
0.000 0.000 0.000 Ba
0.000 0.000 3.979 Re
1.587 1.818 2.779 Mo
1.587 1.818 5.180 Mo

No. 8
CaAcErTm, optimized geometry, DFT PBE; energy of formation = 135.2 meV/atom
1.0
0.000 4.161 4.161
4.161 0.000 4.161
4.161 4.161 0.000
Ca Ac Er Tm
1 1 1 1
Cartesian
0.000 0.000 0.000 Ca
2.081 2.081 2.081 Ac
6.242 6.242 6.242 Er
4.161 4.161 4.161 Tm

no.,ρ (g cm⁻³),magnetic moment (μB per cell)
1,4.95,5.01
2,8.73,12.06
3,9.29,0.71
4,6.56,0.00
5,6.31,0.00
6,10.01,4.19
7,9.32,0.00
8,6.95,0.00